Ta2CdTc: optimized geometry, PBE.

For the calculated total energy, the calculation gives -8.587 eV per atom. The density of states at the Fermi level is 0.737 states/eV/atom. For the formation energy, the calculation gives 0.16 eV/atom. The volume is 71.7 Å³ per cell. As for the total magnetization: 0.000 Bohr magnetons per cell. As for the symmetry: Pm (6).

Cell: 4.6095 2.8344 5.5923 Å, 78.80 90.00 90.00°
Sites, in units of the cell vectors:
Ta: 0.5000 0.2960 0.2691
Cd: 0.5000 0.6713 0.7522
Ta: 0.0000 0.9930 0.0143
Tc: 0.0000 0.5397 0.4644



TaCd2Tc: optimized geometry, PBE.

For the calculated total energy, the calculation gives -5.870 eV per atom. The density of states at the Fermi level is 0.527 states/eV/atom. For the formation energy, the calculation gives 0.14 eV/atom. The volume is 76.4 Å³ per cell. As for the total magnetization: 0.000 Bohr magnetons per cell. The energy above the most stable polymorph in this dataset comes out at 46 meV per atom. As for the symmetry: Cmm2 (35).

Cell: 2.9295 2.9295 9.6697 Å, 90.00 90.00 113.04°
Sites, in units of the cell vectors:
Cd: 0.5000 0.5000 0.2623
Ta: 0.0000 0.0000 0.5276
Tc: 0.5000 0.5000 0.7297
Cd: 0.0000 0.0000 0.9804



What did the second record say?
TaCd2Tc: optimized geometry, PBE.

For the calculated total energy, the calculation gives -5.870 eV per atom. The density of states at the Fermi level is 0.527 states/eV/atom. For the formation energy, the calculation gives 0.14 eV/atom. The volume is 76.4 Å³ per cell. As for the total magnetization: 0.000 Bohr magnetons per cell. The energy above the most stable polymorph in this dataset comes out at 46 meV per atom. As for the symmetry: Cmm2 (35).

Cell: 2.9295 2.9295 9.6697 Å, 90.00 90.00 113.04°
Sites, in units of the cell vectors:
Cd: 0.5000 0.5000 0.2623
Ta: 0.0000 0.0000 0.5276
Tc: 0.5000 0.5000 0.7297
Cd: 0.0000 0.0000 0.9804